Density functional theory data (GGA-PBE) for a relaxed structure of DyErTe.

ΔE_f (raw)   -2.30 eV/f.u.
Offset from the most stable computed form   67 meV/atom
Energy   -4.8704 eV per atom

extended XYZ file:
```
3
Lattice="-1.922 1.922 5.760 1.922 -1.922 5.760 1.922 1.922 -5.760" Properties=species:S:1:pos:R:3 pbc="T T T"
Dy 0.000 0.000 0.000
Er 0.000 0.000 3.603
Te 0.000 0.000 7.589
```


Density functional theory data (GGA-PBE) for a relaxed structure of K2CaSi2.

ΔE_f (raw)   0.43 eV/f.u.
Offset from the most stable computed form   0 meV/atom
Energy   -2.9234 eV per atom

extended XYZ file:
```
5
Lattice="-2.281 2.281 7.286 2.281 -2.281 7.286 2.281 2.281 -7.286" Properties=species:S:1:pos:R:3 pbc="T T T"
K 2.281 0.000 3.643
K 0.000 2.281 3.643
Ca 0.000 0.000 0.000
Si 0.000 0.000 6.155
Si 0.000 0.000 8.416
```